Computed, not measured: a geometry-optimized Pm2Sb4Rh9 structure at the PBE-GGA level of DFT.

Output
Uncorrected energy = -100.2 eV per cell
Volume = 18.69 A^3/atom

abc: 4.4454 4.4454 16.3771
angles: 90.00 90.00 120.00
Closest atoms and distances in Å follow each position.
Space group P-3m1 (No. 164)
Unique sites:
Pm  0.3333  0.6667  0.2561  8 Rh 3.00-3.16
Sb  0.3333  0.6667  0.6062  7 Rh 2.59-2.71
Sb  0.3333  0.6667  0.8911  7 Rh 2.67-2.82
Rh  0.0000  0.0000  0.0000  8 Rh 2.64-2.77
Rh  0.0000  0.0000  0.1612  1 Rh 2.64, 3 Sb 2.71
Rh  0.0000  0.0000  0.3546  3 Sb 2.65
Rh  0.3333  0.6667  0.0633  4 Sb 2.67-2.82, 3 Rh 2.77
Rh  0.3333  0.6667  0.4478  4 Sb 2.59-2.71


Computed, not measured: a geometry-optimized Pm3Sb4Rh2 structure at the PBE-GGA level of DFT.

Output
Uncorrected energy = -105.5 eV per cell
Volume = 25.58 A^3/atom

abc: 11.5075 4.7819 8.6358
angles: 90.00 104.36 90.00
Closest atoms and distances in Å follow each position.
Space group C2/m (No. 12)
Unique sites:
Pm  0.0000  0.0000  0.0000  8 Sb 3.32-3.44, 4 Rh 3.40
Pm  0.1488  0.5000  0.6679  2 Rh 2.92-3.22, 1 Sb 3.25
Sb  0.0843  0.0000  0.3963  2 Rh 2.59
Sb  0.2218  0.5000  0.0778  1 Rh 2.58
Rh  0.0930  0.5000  0.2831  3 Sb 2.58-2.59


Computed, not measured: a geometry-optimized Pm4Sb6Rh5 structure at the PBE-GGA level of DFT.

Output
Uncorrected energy = -369.4 eV per cell
Volume = 23.45 A^3/atom

abc: 4.4222 20.0451 15.8749
angles: 90.00 90.00 90.00
Closest atoms and distances in Å follow each position.
Space group Cmc2_1 (No. 36)
Unique sites:
Pm  0.0000  0.0163  0.0000  7 Sb 3.22-3.34, 3 Rh 3.23-3.37
Pm  0.0000  0.0302  0.2635  5 Rh 3.08-3.35, 6 Sb 3.17-3.29
Pm  0.0000  0.1689  0.8040  6 Sb 3.14-3.21
Pm  0.0000  0.1833  0.4409  6 Sb 3.09-3.16
Sb  0.0000  0.1144  0.6182  4 Rh 2.71-2.72
Sb  0.0000  0.2167  0.9967  4 Rh 2.56-2.67
Sb  0.0000  0.2263  0.2493  4 Rh 2.57-2.64
Sb  0.0000  0.4200  0.9032  1 Rh 2.65
Sb  0.0000  0.4272  0.6309  5 Rh 2.61-2.72
Sb  0.0000  0.4345  0.3548  2 Rh 2.62-2.74
Rh  0.0000  0.1417  0.1274  4 Sb 2.56-2.61
Rh  0.0000  0.3068  0.1205  4 Sb 2.60-2.72
Rh  0.0000  0.3445  0.7664  4 Sb 2.64-2.72
Rh  0.0000  0.3571  0.4880  4 Sb 2.62-2.67
Rh  0.0000  0.4446  0.1829  4 Sb 2.70-2.74, 1 Rh 2.94


Computed, not measured: a geometry-optimized PmSb2Rh structure at the PBE-GGA level of DFT.

Output
Uncorrected energy = -69.6 eV per cell
Polymorph energy (0 for the lowest one) = 105.0 meV/atom
Volume = 24.17 A^3/atom

abc: 4.3121 4.3121 18.0112
angles: 90.00 90.00 120.00
Closest atoms and distances in Å follow each position.
Space group R-3m (No. 166, hexagonal axes)
Unique sites:
Pm  0.0000  0.0000  0.0000  6 Sb 3.12
Sb  0.0000  0.0000  0.2292  3 Rh 2.73
Rh  0.0000  0.0000  0.5000  6 Sb 2.73